Record 1
{"formula": "NdCd6Pd12", "functional": "GGA-PBE", "state": "optimized geometry", "lattice_angstrom": [[6.034, 3.484, 2.902], [-6.034, 3.484, 2.902], [0.000, -6.968, 2.902]], "species": ["Nd", "Cd", "Cd", "Cd", "Cd", "Cd", "Cd", "Pd", "Pd", "Pd", "Pd", "Pd", "Pd", "Pd", "Pd", "Pd", "Pd", "Pd", "Pd"], "frac_coords": [[0.000, 0.000, 0.000], [0.296, 0.702, 0.702], [0.298, 0.298, 0.704], [0.298, 0.704, 0.298], [0.702, 0.296, 0.702], [0.702, 0.702, 0.296], [0.704, 0.298, 0.298], [0.113, 0.500, 0.887], [0.113, 0.887, 0.500], [0.115, 0.353, 0.353], [0.353, 0.115, 0.353], [0.353, 0.353, 0.115], [0.500, 0.113, 0.887], [0.500, 0.887, 0.113], [0.647, 0.647, 0.885], [0.647, 0.885, 0.647], [0.885, 0.647, 0.647], [0.887, 0.113, 0.500], [0.887, 0.500, 0.113]], "formation_energy_mev_per_atom": -212.9, "total_energy_ev_per_atom": -4.032}

Record 2
{"formula": "Ce2PrCu", "functional": "GGA-PBE", "state": "optimized geometry", "lattice_angstrom": [[1.661, 0.959, 11.167], [-1.661, 0.959, 11.167], [0.000, -1.918, 11.167]], "species": ["Ce", "Ce", "Pr", "Cu"], "frac_coords": [[0.100, 0.100, 0.100], [0.900, 0.900, 0.900], [0.000, 0.000, 0.000], [0.500, 0.500, 0.500]], "de_polymorph_ev_per_atom": 0.2250, "formation_energy_mev_per_atom": 274.7, "total_energy_ev_per_atom": -4.911}

Record 3
{"formula": "IrSe2F", "functional": "GGA-PBE", "state": "optimized geometry", "lattice_angstrom": [[3.060, -5.200, 0.000], [3.060, 5.200, 0.000], [-2.158, 0.000, 5.016]], "species": ["Ir", "Ir", "Se", "Se", "Se", "Se", "F", "F"], "frac_coords": [[0.160, 0.840, 0.500], [0.840, 0.160, 0.000], [0.282, 0.602, 0.199], [0.395, 0.722, 0.807], [0.602, 0.282, 0.699], [0.722, 0.395, 0.307], [0.008, 0.982, 0.219], [0.982, 0.008, 0.719]], "total_energy_ev_per_atom": -5.023, "raw_formation_energy_mev_per_atom": -598}

Record 4
{"formula": "Cs2LiIO4", "functional": "GGA-PBE", "state": "optimized geometry", "lattice_angstrom": [[0.000, 6.609, 10.782], [2.694, 0.000, 10.782], [2.694, 6.609, 0.000]], "species": ["Cs", "Cs", "Cs", "Cs", "Li", "Li", "I", "I", "O", "O", "O", "O", "O", "O", "O", "O"], "frac_coords": [[0.048, 0.048, 0.702], [0.298, 0.298, 0.952], [0.702, 0.702, 0.048], [0.952, 0.952, 0.298], [0.125, 0.125, 0.125], [0.875, 0.875, 0.875], [0.375, 0.375, 0.375], [0.625, 0.625, 0.625], [0.002, 0.336, 0.420], [0.257, 0.580, 0.664], [0.336, 0.002, 0.743], [0.420, 0.743, 0.002], [0.580, 0.257, 0.998], [0.664, 0.998, 0.257], [0.743, 0.420, 0.336], [0.998, 0.664, 0.580]], "total_energy_ev_per_atom": -4.160, "raw_formation_energy_mev_per_atom": -1035}

Record 5
{"formula": "SbIrI2O", "functional": "GGA-PBE", "state": "optimized geometry", "lattice_angstrom": [[5.462, 0.000, 0.000], [0.000, 5.462, 0.000], [0.000, 0.000, 5.016]], "species": ["Sb", "Ir", "I", "I", "O"], "frac_coords": [[0.000, 0.000, 0.000], [0.000, 0.000, 0.500], [0.000, 0.500, 0.500], [0.500, 0.000, 0.500], [0.500, 0.500, 0.000]], "de_polymorph_ev_per_atom": 0.8348, "total_energy_ev_per_atom": -3.259, "raw_formation_energy_mev_per_atom": 949}

The calculation returns the following total magnetic moment values, one per record and in order: 0.0 0.9 0.0 0.0 0.0 μB/f.u..